Entry 1:
Material: Tb2Nd2Zn
Method: DFT, PBE
State: relaxed

For the size of the total moment, the calculation gives 0.00 μB/cell. As for the energy above the lowest structure with this stoichiometry: 97 meV/atom. The value obtained for the energy of formation from the pure elements is -31 meV per atom.

The structure in CIF format:
```
data_Tb2Nd2Zn
_cell_length_a 8.362
_cell_length_b 9.513
_cell_length_c 8.228
_cell_angle_alpha 90.00
_cell_angle_beta 115.09
_cell_angle_gamma 90.00
_space_group_name_H-M_alt 'C 1 2/m 1'
_space_group_IT_number 12
loop_
_space_group_symop_operation_xyz
'x,y,z'
'-x,-y,-z'
'-x,y,-z'
'x,-y,z'
'x+1/2,y+1/2,z'
'-x+1/2,-y+1/2,-z'
'-x+1/2,y+1/2,-z'
'x+1/2,-y+1/2,z'
loop_
_atom_site_label
_atom_site_type_symbol
_atom_site_fract_x
_atom_site_fract_y
_atom_site_fract_z
Tb1 Tb 0.073 0.189 0.233
Nd1 Nd 0.162 0.500 0.913
Nd2 Nd 0.225 0.000 0.624
Zn1 Zn 0.000 0.355 0.500
```

---

Entry 2:
Material: LiB3C
Method: DFT, PBE
State: relaxed

For the size of the total moment, the calculation gives 0.00 μB/cell. As for the energy above the lowest structure with this stoichiometry: 1554 meV/atom. The value obtained for the energy of formation from the pure elements is 1661 meV per atom.

The structure in CIF format:
```
data_LiB3C
_cell_length_a 3.411
_cell_length_b 3.411
_cell_length_c 3.411
_cell_angle_alpha 90.00
_cell_angle_beta 90.00
_cell_angle_gamma 90.00
_space_group_name_H-M_alt 'P m -3 m'
_space_group_IT_number 221
_space_group_name_Hall '-P 4 2 3'
loop_
_atom_site_label
_atom_site_type_symbol
_atom_site_fract_x
_atom_site_fract_y
_atom_site_fract_z
Li1 Li 0.000 0.000 0.000
B1 B 0.000 0.500 0.500
C1 C 0.500 0.500 0.500
```

---

Entry 3:
Material: SiMo2Rh
Method: DFT, PBE
State: relaxed

For the size of the total moment, the calculation gives 0.00 μB/cell. The formation energy without anion corrections comes out at -195 meV per atom.

The structure in CIF format:
```
data_SiMo2Rh
_cell_length_a 3.660
_cell_length_b 3.660
_cell_length_c 4.359
_cell_angle_alpha 90.00
_cell_angle_beta 90.00
_cell_angle_gamma 90.00
_space_group_name_H-M_alt 'P 4/m m m'
_space_group_IT_number 123
_space_group_name_Hall '-P 4 2'
loop_
_atom_site_label
_atom_site_type_symbol
_atom_site_fract_x
_atom_site_fract_y
_atom_site_fract_z
Si1 Si 0.000 0.000 0.000
Mo1 Mo 0.000 0.500 0.500
Rh1 Rh 0.500 0.500 0.000
```

---

Entry 4:
Material: KLaZr2O6
Method: DFT, PBE
State: relaxed

For the size of the total moment, the calculation gives 0.00 μB/cell. The formation energy without anion corrections comes out at -3026 meV per atom.

The structure in CIF format:
```
data_KLaZr2O6
_cell_length_a 8.371
_cell_length_b 8.371
_cell_length_c 8.371
_cell_angle_alpha 90.00
_cell_angle_beta 90.00
_cell_angle_gamma 90.00
_space_group_name_H-M_alt 'F m -3 m'
_space_group_IT_number 225
_space_group_name_Hall '-F 4 2 3'
loop_
_atom_site_label
_atom_site_type_symbol
_atom_site_fract_x
_atom_site_fract_y
_atom_site_fract_z
K1 K 0.000 0.000 0.000
La1 La 0.000 0.000 0.500
Zr1 Zr 0.250 0.250 0.250
O1 O 0.000 0.250 0.250
```

---

Entry 5:
Material: Tl2ZnPdF6
Method: DFT, PBE
State: relaxed

For the size of the total moment, the calculation gives 12.00 μB/cell. The formation energy without anion corrections comes out at -1741 meV per atom.

The structure in CIF format:
```
data_Tl2ZnPdF6
_cell_length_a 6.1025
_cell_length_b 6.1025
_cell_length_c 31.3906
_cell_angle_alpha 90.00
_cell_angle_beta 90.00
_cell_angle_gamma 120.00
_space_group_name_H-M_alt 'R -3 m'
_space_group_IT_number 166
_space_group_name_Hall '-R 3 2"'
loop_
_atom_site_label
_atom_site_type_symbol
_atom_site_fract_x
_atom_site_fract_y
_atom_site_fract_z
Tl1 Tl 0.0000 0.0000 0.1226
Tl2 Tl 0.0000 0.0000 0.2827
Zn1 Zn 0.0000 0.0000 0.4073
Pd1 Pd 0.0000 0.0000 0.0000
Pd2 Pd 0.0000 0.0000 0.5000
F1 F 0.0017 0.5008 0.2914
F2 F 0.0298 0.5149 0.1182
```

---

Entry 6:
Material: UPaCoIr
Method: DFT, PBE
State: relaxed

For the size of the total moment, the calculation gives 4.36 μB/cell. The value obtained for the energy of formation from the pure elements is -428 meV per atom.

The structure in CIF format:
```
data_UPaCoIr
_cell_length_a 6.502
_cell_length_b 6.502
_cell_length_c 6.502
_cell_angle_alpha 90.00
_cell_angle_beta 90.00
_cell_angle_gamma 90.00
_space_group_name_H-M_alt 'F -4 3 m'
_space_group_IT_number 216
_space_group_name_Hall 'F -4 2 3'
loop_
_atom_site_label
_atom_site_type_symbol
_atom_site_fract_x
_atom_site_fract_y
_atom_site_fract_z
U1 U 0.000 0.000 0.000
Pa1 Pa 0.250 0.250 0.750
Co1 Co 0.000 0.000 0.500
Ir1 Ir 0.250 0.250 0.250
```

---

Entry 7:
Material: ZnSe2Br
Method: DFT, PBE
State: relaxed

For the size of the total moment, the calculation gives 0.00 μB/cell. As for the energy above the lowest structure with this stoichiometry: 433 meV/atom. The formation energy without anion corrections comes out at 142 meV per atom.

The structure in CIF format:
```
data_ZnSe2Br
_cell_length_a 3.637
_cell_length_b 4.834
_cell_length_c 11.573
_cell_angle_alpha 90.00
_cell_angle_beta 90.00
_cell_angle_gamma 90.00
_space_group_name_H-M_alt 'C m m m'
_space_group_IT_number 65
_space_group_name_Hall '-C 2 2'
loop_
_atom_site_label
_atom_site_type_symbol
_atom_site_fract_x
_atom_site_fract_y
_atom_site_fract_z
Zn1 Zn 0.000 0.000 0.000
Se1 Se 0.000 0.500 0.164
Br1 Br 0.000 0.000 0.500
```

---

Entry 8:
Material: NaAs2Os
Method: DFT, PBE
State: relaxed

For the size of the total moment, the calculation gives 0.00 μB/cell. As for the energy above the lowest structure with this stoichiometry: 126 meV/atom. The value obtained for the energy of formation from the pure elements is 136 meV per atom.

The structure in CIF format:
```
data_NaAs2Os
_cell_length_a 6.342
_cell_length_b 6.342
_cell_length_c 6.342
_cell_angle_alpha 90.00
_cell_angle_beta 90.00
_cell_angle_gamma 90.00
_space_group_name_H-M_alt 'F m -3 m'
_space_group_IT_number 225
_space_group_name_Hall '-F 4 2 3'
loop_
_atom_site_label
_atom_site_type_symbol
_atom_site_fract_x
_atom_site_fract_y
_atom_site_fract_z
Na1 Na 0.000 0.000 0.000
As1 As 0.250 0.250 0.250
Os1 Os 0.000 0.000 0.500
```

---

Entry 9:
Material: SmZnSn
Method: DFT, PBE
State: relaxed

For the size of the total moment, the calculation gives 0.00 μB/cell. The value obtained for the energy of formation from the pure elements is -446 meV per atom.

The structure in CIF format:
```
data_SmZnSn
_cell_length_a 6.702
_cell_length_b 6.702
_cell_length_c 6.702
_cell_angle_alpha 90.00
_cell_angle_beta 90.00
_cell_angle_gamma 90.00
_space_group_name_H-M_alt 'F -4 3 m'
_space_group_IT_number 216
_space_group_name_Hall 'F -4 2 3'
loop_
_atom_site_label
_atom_site_type_symbol
_atom_site_fract_x
_atom_site_fract_y
_atom_site_fract_z
Sm1 Sm 0.000 0.000 0.000
Zn1 Zn 0.250 0.250 0.750
Sn1 Sn 0.000 0.000 0.500
```

---

Entry 10:
Material: YZr4Zn5
Method: DFT, PBE
State: relaxed

For the size of the total moment, the calculation gives 0.00 μB/cell. The value obtained for the energy of formation from the pure elements is -280 meV per atom.

The structure in CIF format:
```
data_YZr4Zn5
_cell_length_a 3.392
_cell_length_b 3.392
_cell_length_c 16.874
_cell_angle_alpha 90.00
_cell_angle_beta 90.00
_cell_angle_gamma 90.00
_space_group_name_H-M_alt 'P 4/m m m'
_space_group_IT_number 123
_space_group_name_Hall '-P 4 2'
loop_
_atom_site_label
_atom_site_type_symbol
_atom_site_fract_x
_atom_site_fract_y
_atom_site_fract_z
Y1 Y 0.000 0.000 0.000
Zr1 Zr 0.000 0.000 0.208
Zr2 Zr 0.000 0.000 0.402
Zn1 Zn 0.500 0.500 0.113
Zn2 Zn 0.500 0.500 0.305
Zn3 Zn 0.500 0.500 0.500
```

---

Entry 11:
Material: AgRuRh2
Method: DFT, PBE
State: relaxed

For the size of the total moment, the calculation gives 0.00 μB/cell. As for the energy above the lowest structure with this stoichiometry: 24 meV/atom. The value obtained for the energy of formation from the pure elements is 150 meV per atom.

The structure in CIF format:
```
data_AgRuRh2
_cell_length_a 2.7676
_cell_length_b 2.7676
_cell_length_c 27.0811
_cell_angle_alpha 90.00
_cell_angle_beta 90.00
_cell_angle_gamma 120.00
_space_group_name_H-M_alt 'R -3 m'
_space_group_IT_number 166
_space_group_name_Hall '-R 3 2"'
loop_
_atom_site_label
_atom_site_type_symbol
_atom_site_fract_x
_atom_site_fract_y
_atom_site_fract_z
Ag1 Ag 0.0000 0.0000 0.0000
Ru1 Ru 0.0000 0.0000 0.5000
Rh1 Rh 0.0000 0.0000 0.2445
```

---

Entry 12:
Material: CaBiPbO6
Method: DFT, PBE
State: relaxed

For the size of the total moment, the calculation gives 2.04 μB/cell. The formation energy without anion corrections comes out at -1176 meV per atom.

The structure in CIF format:
```
data_CaBiPbO6
_cell_length_a 5.7338
_cell_length_b 5.7338
_cell_length_c 9.7463
_cell_angle_alpha 90.00
_cell_angle_beta 90.00
_cell_angle_gamma 120.00
_space_group_name_H-M_alt 'P -3 1 c'
_space_group_IT_number 163
_space_group_name_Hall '-P 3 2c'
loop_
_atom_site_label
_atom_site_type_symbol
_atom_site_fract_x
_atom_site_fract_y
_atom_site_fract_z
Ca1 Ca 0.0000 0.0000 0.0000
Bi1 Bi 0.3333 0.6667 0.2500
Pb1 Pb 0.3333 0.6667 0.7500
O1 O 0.0087 0.3583 0.1320
```

---

> The highest size of the total moment belongs to which entry?

Tl2ZnPdF6

---

> What is the formula in the seventh record?

ZnSe2Br